Material: TmAl3Pt2
Method: DFT, GGA-PBE
State: optimized geometry

Output
Spin magnetization   0.0 μB/f.u.
Formation energy   -6.11 eV per formula unit
DOS(E_F)   13.88 states/eV per cell

```
data_TmAl3Pt2
_chemical_formula_sum 'Tm6 Al18 Pt12'
_space_group_name_H-M_alt 'C 1 2/m 1'
_space_group_IT_number 12
_cell_length_a 16.574
_cell_length_b 4.124
_cell_length_c 9.972
_cell_angle_alpha 90.00
_cell_angle_beta 108.21
_cell_angle_gamma 90.00
loop_
_space_group_symop_operation_xyz
'x,y,z'
'-x,-y,-z'
'-x,y,-z'
'x,-y,z'
'x+1/2,y+1/2,z'
'-x+1/2,-y+1/2,-z'
'-x+1/2,y+1/2,-z'
'x+1/2,-y+1/2,z'
loop_
_atom_site_label
_atom_site_type_symbol
_atom_site_fract_x
_atom_site_fract_y
_atom_site_fract_z
_atom_site_occupancy
Tm1 Tm 0.000 0.000 0.000 1
Tm2 Tm 0.157 0.000 0.705 1
Al1 Al 0.000 0.500 0.500 1
Al2 Al 0.041 0.000 0.353 1
Al3 Al 0.126 0.500 0.200 1
Al4 Al 0.176 0.500 0.964 1
Al5 Al 0.214 0.000 0.392 1
Pt1 Pt 0.029 0.500 0.784 1
Pt2 Pt 0.139 0.500 0.456 1
Pt3 Pt 0.197 0.000 0.130 1
```

***

Material: Tm2Al12Pt7
Method: DFT, GGA-PBE
State: optimized geometry

Output
Spin magnetization   0.0 μB/f.u.
Formation energy   -20.75 eV per formula unit
DOS(E_F)   5.40 states/eV per cell

```
data_Tm2Al12Pt7
_chemical_formula_sum 'Tm2 Al12 Pt7'
_space_group_name_H-M_alt 'P -6'
_space_group_IT_number 174
_cell_length_a 9.9418
_cell_length_b 9.9418
_cell_length_c 4.1402
_cell_angle_alpha 90.00
_cell_angle_beta 90.00
_cell_angle_gamma 120.00
loop_
_space_group_symop_operation_xyz
'x,y,z'
'-x+y,-x,-z'
'-y,x-y,z'
'x,y,-z'
'-x+y,-x,z'
'-y,x-y,-z'
loop_
_atom_site_label
_atom_site_type_symbol
_atom_site_fract_x
_atom_site_fract_y
_atom_site_fract_z
_atom_site_occupancy
Tm1 Tm 0.0000 0.0000 0.0000 1
Tm2 Tm 0.3333 0.6667 0.5000 1
Al1 Al 0.0272 0.7400 0.5000 1
Al2 Al 0.1371 0.3862 0.0000 1
Al3 Al 0.3735 0.1821 0.0000 1
Al4 Al 0.5320 0.1177 0.5000 1
Pt1 Pt 0.0396 0.5807 0.0000 1
Pt2 Pt 0.2398 0.0170 0.5000 1
Pt3 Pt 0.6667 0.3333 0.0000 1
```

***

Material: Tm6AlPt2
Method: DFT, GGA-PBE
State: optimized geometry

Output
Spin magnetization   0.0 μB/f.u.
Formation energy   -6.72 eV per formula unit
DOS(E_F)   30.14 states/eV per cell

```
data_Tm6AlPt2
_chemical_formula_sum 'Tm24 Al4 Pt8'
_space_group_name_H-M_alt 'I m m m'
_space_group_IT_number 71
_space_group_name_Hall '-I 2 2'
_cell_length_a 9.275
_cell_length_b 9.434
_cell_length_c 10.292
_cell_angle_alpha 90.00
_cell_angle_beta 90.00
_cell_angle_gamma 90.00
loop_
_atom_site_label
_atom_site_type_symbol
_atom_site_fract_x
_atom_site_fract_y
_atom_site_fract_z
_atom_site_occupancy
Tm1 Tm 0.000 0.196 0.239 1
Tm2 Tm 0.200 0.500 0.169 1
Tm3 Tm 0.214 0.319 0.500 1
Al1 Al 0.000 0.000 0.000 1
Al2 Al 0.000 0.000 0.500 1
Pt1 Pt 0.000 0.334 0.000 1
Pt2 Pt 0.000 0.500 0.364 1
```

***

Material: Tm3AlPt12
Method: DFT, GGA-PBE
State: optimized geometry

Output
Spin magnetization   0.0 μB/f.u.
Formation energy   -15.72 eV per formula unit
DOS(E_F)   14.22 states/eV per cell

```
data_Tm3AlPt12
_chemical_formula_sum 'Tm3 Al1 Pt12'
_space_group_name_H-M_alt 'P 4/m m m'
_space_group_IT_number 123
_space_group_name_Hall '-P 4 2'
_cell_length_a 4.063
_cell_length_b 4.063
_cell_length_c 16.092
_cell_angle_alpha 90.00
_cell_angle_beta 90.00
_cell_angle_gamma 90.00
loop_
_atom_site_label
_atom_site_type_symbol
_atom_site_fract_x
_atom_site_fract_y
_atom_site_fract_z
_atom_site_occupancy
Tm1 Tm 0.000 0.000 0.000 1
Tm2 Tm 0.000 0.000 0.255 1
Al1 Al 0.000 0.000 0.500 1
Pt1 Pt 0.000 0.500 0.128 1
Pt2 Pt 0.000 0.500 0.385 1
Pt3 Pt 0.500 0.500 0.000 1
Pt4 Pt 0.500 0.500 0.257 1
Pt5 Pt 0.500 0.500 0.500 1
```

***

Material: Tm3Al7Pt4
Method: DFT, GGA-PBE
State: optimized geometry

Output
Spin magnetization   0.0 μB/f.u.
Formation energy   -14.17 eV per formula unit
DOS(E_F)   11.61 states/eV per cell

```
data_Tm3Al7Pt4
_chemical_formula_sum 'Tm6 Al14 Pt8'
_space_group_name_H-M_alt 'C 1 2/m 1'
_space_group_IT_number 12
_cell_length_a 15.585
_cell_length_b 4.224
_cell_length_c 9.445
_cell_angle_alpha 90.00
_cell_angle_beta 125.28
_cell_angle_gamma 90.00
loop_
_space_group_symop_operation_xyz
'x,y,z'
'-x,-y,-z'
'-x,y,-z'
'x,-y,z'
'x+1/2,y+1/2,z'
'-x+1/2,-y+1/2,-z'
'-x+1/2,y+1/2,-z'
'x+1/2,-y+1/2,z'
loop_
_atom_site_label
_atom_site_type_symbol
_atom_site_fract_x
_atom_site_fract_y
_atom_site_fract_z
_atom_site_occupancy
Tm1 Tm 0.000 0.000 0.000 1
Tm2 Tm 0.194 0.500 0.698 1
Al1 Al 0.000 0.000 0.500 1
Al2 Al 0.005 0.500 0.296 1
Al3 Al 0.155 0.000 0.423 1
Al4 Al 0.182 0.500 0.026 1
Pt1 Pt 0.117 0.000 0.839 1
Pt2 Pt 0.161 0.500 0.278 1
```

***

Material: YTmAlPt
Method: DFT, GGA-PBE
State: optimized geometry

Output
Spin magnetization   0.0 μB/f.u.
Formation energy   -3.04 eV per formula unit
DOS(E_F)   11.61 states/eV per cell

```
data_YTmAlPt
_chemical_formula_sum 'Y4 Tm4 Al4 Pt4'
_space_group_name_H-M_alt 'F -4 3 m'
_space_group_IT_number 216
_space_group_name_Hall 'F -4 2 3'
_cell_length_a 7.071
_cell_length_b 7.071
_cell_length_c 7.071
_cell_angle_alpha 90.00
_cell_angle_beta 90.00
_cell_angle_gamma 90.00
loop_
_atom_site_label
_atom_site_type_symbol
_atom_site_fract_x
_atom_site_fract_y
_atom_site_fract_z
_atom_site_occupancy
Y1 Y 0.000 0.000 0.000 1
Tm1 Tm 0.000 0.000 0.500 1
Al1 Al 0.250 0.250 0.750 1
Pt1 Pt 0.250 0.250 0.250 1
```